# Tb2TaI (PBE, optimized geometry)
data_Tb2TaI
_chemical_formula_sum 'Tb2 Ta1 I1'
_space_group_name_H-M_alt 'P 1'
_space_group_IT_number 1
_cell_length_a 11.098
_cell_length_b 11.098
_cell_length_c 11.098
_cell_angle_alpha 17.77
_cell_angle_beta 17.77
_cell_angle_gamma 17.77
loop_
_space_group_symop_operation_xyz
'x,y,z'
loop_
_atom_site_label
_atom_site_type_symbol
_atom_site_fract_x
_atom_site_fract_y
_atom_site_fract_z
_atom_site_occupancy
Tb1 Tb 0.089 0.089 0.089 1
Tb2 Tb 0.911 0.911 0.911 1
Ta1 Ta 0.000 0.000 0.000 1
I1 I 0.500 0.500 0.500 1
# Total energy in eV per atom: -5.1958
# DOS(E_F) in states/eV per atom: 1.399
# Volume in Å³ per cell: 111.10
# Symmetry: R-3m